An optimized crystal structure of TlInGa2. Source: Alexandria via LeMat-Bulk, functional GGA-PBE.

Output
Its energy above the most stable polymorph in this dataset is 67.3 meV per atom. For the formation energy, the calculation gives 0.091 eV per atom. As for the theoretical density: 7824 kg/m³. The density of states at the Fermi level is 0.756 states/eV/atom.

Lattice parameters (Å, degrees): 5.322 5.322 3.437 90.00 90.00 90.00
Space group P4/mmm (No. 123)
One atom of each set of equivalent atoms:
Tl (0.000, 0.000, 0.000) (multiplicity 1)
In (0.500, 0.500, 0.000) (multiplicity 1)
Ga (0.000, 0.500, 0.500) (multiplicity 2)